# CrNiHRh2 GGA-PBE optimized geometry
data_CrNiHRh2
_symmetry_space_group_name_H-M 'P 1'
_symmetry_Int_Tables_number 1
_cell_length_a 3.879
_cell_length_b 3.879
_cell_length_c 3.671
_cell_angle_alpha 90.00
_cell_angle_beta 90.00
_cell_angle_gamma 90.00
loop_
_symmetry_equiv_pos_as_xyz
'x,y,z'
loop_
_atom_site_label
_atom_site_type_symbol
_atom_site_fract_x
_atom_site_fract_y
_atom_site_fract_z
Cr1 Cr 0.000 0.000 0.000
Ni1 Ni 0.500 0.500 0.000
H1 H 0.500 0.500 0.500
Rh1 Rh 0.000 0.500 0.500
Rh2 Rh 0.500 0.000 0.500
# total magnetization = 1.4 Bohr magnetons per cell
# energy relative to the lowest polymorph listed for this composition = 0.0 meV/atom
# final energy = -33.71 eV per formula unit



# GePd4Au GGA-PBE optimized geometry
data_GePd4Au
_symmetry_space_group_name_H-M 'P 1'
_symmetry_Int_Tables_number 1
_cell_length_a 7.831
_cell_length_b 5.528
_cell_length_c 8.866
_cell_angle_alpha 90.00
_cell_angle_beta 91.80
_cell_angle_gamma 90.00
loop_
_symmetry_equiv_pos_as_xyz
'x,y,z'
loop_
_atom_site_label
_atom_site_type_symbol
_atom_site_fract_x
_atom_site_fract_y
_atom_site_fract_z
Ge1 Ge 0.231 0.219 0.342
Ge2 Ge 0.231 0.281 0.842
Ge3 Ge 0.769 0.719 0.158
Ge4 Ge 0.769 0.781 0.658
Pd1 Pd 0.057 0.577 0.637
Pd2 Pd 0.057 0.923 0.137
Pd3 Pd 0.124 0.065 0.601
Pd4 Pd 0.124 0.435 0.101
Pd5 Pd 0.383 0.103 0.090
Pd6 Pd 0.383 0.397 0.590
Pd7 Pd 0.458 0.608 0.134
Pd8 Pd 0.458 0.892 0.634
Pd9 Pd 0.542 0.108 0.366
Pd10 Pd 0.542 0.392 0.866
Pd11 Pd 0.617 0.603 0.410
Pd12 Pd 0.617 0.897 0.910
Pd13 Pd 0.876 0.565 0.899
Pd14 Pd 0.876 0.935 0.399
Pd15 Pd 0.943 0.077 0.863
Pd16 Pd 0.943 0.423 0.363
Au1 Au 0.252 0.732 0.378
Au2 Au 0.252 0.768 0.878
Au3 Au 0.748 0.232 0.122
Au4 Au 0.748 0.268 0.622
# total magnetization = 0.0 Bohr magnetons per cell
# energy relative to the lowest polymorph listed for this composition = 0.0 meV/atom
# final energy = -29.95 eV per formula unit
# energy of formation = -0.21 eV per atom